BeSb2IO: relaxed, PBE.

Geometry as POSCAR:
```
BeSb2IO
1.0
4.8893 0.0000 0.0000
0.0000 4.8893 0.0000
0.0000 0.0000 4.9576
Be Sb I O
1 2 1 1
Cartesian
0.0000 0.0000 0.0000
0.0000 2.4446 0.0000
2.4446 0.0000 0.0000
0.0000 0.0000 2.4788
2.4446 2.4446 2.4788
```

Summary:
Energy relative to the elements, uncorrected   0.77 eV per atom
Total magnetization   0.8 μB per cell
Fermi-level density of states   3.89 states/eV per cell
Polymorph energy (0 for the lowest one)   277 meV per atom